A plane-wave DFT calculation with PBE was carried out for crystalline Cu2AsCl at its relaxed geometry.

Energy: -3.066 eV per atom
Distance to the lowest polymorph of the same formula: 0.689 eV per atom

Geometry as POSCAR:
```
Cu2AsCl
1.0
-3.6945 0.7450 2.5274
-0.2070 -1.5980 4.2421
0.1953 2.8631 3.5152
As Cu Cl
1 2 1
direct
0.5000 0.5000 0.5000
0.0000 0.0000 0.0000
0.2500 0.2500 0.2500
0.7500 0.7500 0.7500
```

---

A plane-wave DFT calculation with PBE was carried out for crystalline TlHgSb at its relaxed geometry.

Energy: -2.213 eV per atom

Geometry as POSCAR:
```
TlHgSb
1.0
4.8624 0.0000 0.0000
0.0000 4.9310 0.0000
0.0000 0.0000 8.4232
Tl Hg Sb
2 2 2
direct
0.5000 0.4985 0.1703
0.0000 0.5015 0.6703
0.0000 0.9986 0.0022
0.5000 0.0014 0.5022
0.0000 0.9941 0.3352
0.5000 0.0059 0.8352
```

---

A plane-wave DFT calculation with PBE was carried out for crystalline Nd2H2SeBr at its relaxed geometry.

Energy: -4.789 eV per atom

Geometry as POSCAR:
```
Nd2H2SeBr
1.0
3.9859 0.0000 0.0000
-1.9929 3.4519 0.0000
0.0000 0.0000 8.6186
Nd H Se Br
2 2 1 1
direct
0.3333 0.6667 0.7197
0.6667 0.3333 0.2803
0.3333 0.6667 0.2477
0.6667 0.3333 0.7523
0.0000 0.0000 0.5000
0.0000 0.0000 0.0000
```

---

A plane-wave DFT calculation with PBE was carried out for crystalline Eu2InHg at its relaxed geometry.

Energy: -6.400 eV per atom
Distance to the lowest polymorph of the same formula: 0.007 eV per atom

Geometry as POSCAR:
```
Eu2InHg
1.0
-4.4236 3.3075 0.6142
-4.7768 -1.2458 -2.5523
-4.3691 -1.7260 2.9693
Eu Hg In
2 1 1
direct
0.2500 0.2500 0.2500
0.7500 0.7500 0.7500
0.5000 0.5000 0.5000
0.0000 0.0000 0.0000
```

---

A plane-wave DFT calculation with PBE was carried out for crystalline AcCd4Ag at its relaxed geometry.

Energy: -1.863 eV per atom
Distance to the lowest polymorph of the same formula: 0.120 eV per atom

Geometry as POSCAR:
```
AcCd4Ag
1.0
6.0077 0.0000 0.0000
3.0038 5.2028 0.0000
3.0038 1.7343 4.9053
Ac Ag Cd
1 1 4
direct
0.2500 0.2500 0.2500
0.0000 0.0000 0.0000
0.6256 0.6256 0.1232
0.6256 0.1232 0.6256
0.6256 0.6256 0.6256
0.1232 0.6256 0.6256
```

---

A plane-wave DFT calculation with PBE was carried out for crystalline Na4NbRh3Se8 at its relaxed geometry.

Energy: -4.768 eV per atom

Geometry as POSCAR:
```
Na4NbRh3Se8
1.0
-3.3005 -6.2138 3.0707
6.3747 -4.4384 -2.1298
1.1643 6.2503 4.3033
Na Nb Rh Se
4 1 3 8
direct
0.5000 0.0000 0.0000
0.5000 0.0000 0.5000
0.0000 0.0000 0.0000
0.0000 0.0000 0.5000
0.0000 0.5000 0.0000
0.5000 0.5000 0.0000
0.5000 0.5000 0.5000
0.0000 0.5000 0.5000
0.2390 0.6991 0.9602
0.2390 0.6991 0.4779
0.2705 0.3115 0.5409
0.7212 0.6991 0.9602
0.2788 0.3009 0.0398
0.7295 0.6885 0.4591
0.7610 0.3009 0.5221
0.7610 0.3009 0.0398
```

---

A plane-wave DFT calculation with PBE was carried out for crystalline Nd8Sm6In at its relaxed geometry.

Energy: -4.552 eV per atom

Geometry as POSCAR:
```
Nd8Sm6In
1.0
-1.6274 -6.4532 -0.3068
8.0061 -2.2315 4.4689
-7.8408 1.7417 4.9535
Nd Sm In
8 6 1
direct
0.8207 0.0407 0.2702
0.8207 0.7298 0.7705
0.8207 0.2295 0.9593
0.1793 0.9593 0.7298
0.1793 0.2702 0.2295
0.1793 0.7705 0.0407
0.8668 0.3333 0.6667
0.1332 0.6667 0.3333
0.6655 0.6495 0.0935
0.6655 0.9065 0.5560
0.6655 0.4440 0.3505
0.3345 0.3505 0.9065
0.3345 0.0935 0.4440
0.3345 0.5560 0.6495
0.5000 0.0000 0.0000
```

---

A plane-wave DFT calculation with PBE was carried out for crystalline CsCdTe2I at its relaxed geometry.

Energy: -1.342 eV per atom
Distance to the lowest polymorph of the same formula: 0.965 eV per atom

Geometry as POSCAR:
```
CsCdTe2I
1.0
-1.7822 5.1104 3.8074
-6.3614 -1.1900 -1.3804
-0.4023 -4.2534 5.5208
Cs I Te Cd
1 1 2 1
direct
0.0000 0.0000 0.0000
0.0000 0.0000 0.5000
0.0000 0.5000 0.0000
0.5000 0.0000 0.0000
0.5000 0.5000 0.5000
```

---

A plane-wave DFT calculation with PBE was carried out for crystalline DyGe2Au at its relaxed geometry.

Energy: -4.781 eV per atom

Geometry as POSCAR:
```
DyGe2Au
1.0
4.1221 0.0000 0.0000
0.0000 4.4071 0.0000
0.0000 0.0000 4.4071
Ge Au Dy
2 1 1
direct
0.0000 0.0000 0.5000
0.0000 0.5000 0.0000
0.5000 0.5000 0.5000
0.5000 0.0000 0.0000
```

---

A plane-wave DFT calculation with PBE was carried out for crystalline Pr7NdTm2 at its relaxed geometry.

Energy: -4.094 eV per atom
Distance to the lowest polymorph of the same formula: 0.606 eV per atom

Geometry as POSCAR:
```
Pr7NdTm2
1.0
5.8141 0.0000 0.0000
0.0000 9.2607 -0.3795
0.0000 -4.5167 8.0935
Pr Nd Tm
7 1 2
direct
0.0000 0.7683 0.2317
0.0000 0.2317 0.7683
0.5000 0.0638 0.2972
0.5000 0.9362 0.7028
0.5000 0.2972 0.0638
0.5000 0.7028 0.9362
0.5000 0.5000 0.5000
0.0000 0.0000 0.0000
0.5000 0.7042 0.2958
0.5000 0.2958 0.7042
```